! MgNpBeO5 PBE optimized geometry; values from VASP
! * formation energy from raw total energies: -2.637 eV/atom
! * E: -8.02 eV/atom
! * N(E_F): 0.2 states/eV per cell
! * crystal system: monoclinic
! * M_tot: 2.00 Bohr magnetons per cell
&SYSTEM
  ibrav = 0, nat = 16, ntyp = 4
/
ATOMIC_SPECIES
Mg 24.30 Mg.upf
Np 237.00 Np.upf
Be 9.01 Be.upf
O 16.00 O.upf
CELL_PARAMETERS angstrom
-1.790 4.181 2.799
1.908 -3.453 3.598
6.224 2.637 -3.602
ATOMIC_POSITIONS crystal
Mg 0.357 0.643 0.250
Mg 0.643 0.357 0.750
Np 0.000 0.000 0.500
Np 0.000 0.000 0.000
Be 0.688 0.312 0.250
Be 0.312 0.688 0.750
O 0.117 0.883 0.250
O 0.883 0.117 0.750
O 0.938 0.330 0.157
O 0.062 0.670 0.843
O 0.670 0.062 0.343
O 0.330 0.938 0.657
O 0.726 0.605 0.411
O 0.274 0.395 0.589
O 0.395 0.274 0.089
O 0.605 0.726 0.911